{
  "formula": "SrGa2Pb2",
  "functional": "GGA-PBE",
  "state": "relaxed",
  "relative_energy_mev_per_atom": 28.6,
  "formation_enthalpy_0k_ev_per_atom": -0.188,
  "cell": [[-3.667, -6.373, -4.084], [7.533, -2.626, -2.666], [0.348, -2.249, 3.198]],
  "species": ["Pb", "Pb", "Pb", "Pb", "Sr", "Sr", "Ga", "Ga", "Ga", "Ga"],
  "fractional_positions": [[0.173, 0.673, 0.500], [0.673, 0.827, 0.500], [0.827, 0.327, 0.500], [0.327, 0.173, 0.500], [0.000, 0.000, 0.000], [0.500, 0.500, 0.000], [0.384, 0.884, 0.000], [0.884, 0.616, 0.000], [0.616, 0.116, 0.000], [0.116, 0.384, 0.000]]
}

---

{
  "formula": "SrGa3Pb",
  "functional": "GGA-PBE",
  "state": "relaxed",
  "relative_energy_mev_per_atom": 480.9,
  "formation_enthalpy_0k_ev_per_atom": 0.737,
  "cell": [[5.719, 0.000, 0.000], [0.000, 5.719, 0.000], [0.000, 0.000, 5.719]],
  "species": ["Pb", "Sr", "Ga", "Ga", "Ga"],
  "fractional_positions": [[0.500, 0.500, 0.500], [0.000, 0.000, 0.000], [0.000, 0.500, 0.000], [0.000, 0.000, 0.500], [0.500, 0.000, 0.000]]
}

---

{
  "formula": "Sr3Ga2Pb2",
  "functional": "GGA-PBE",
  "state": "relaxed",
  "formation_enthalpy_0k_ev_per_atom": -0.493,
  "cell": [[4.471, 0.000, 0.000], [-2.236, 5.628, -2.627], [0.000, -0.160, 9.095]],
  "species": ["Sr", "Sr", "Sr", "Ga", "Ga", "Pb", "Pb"],
  "fractional_positions": [[0.316, 0.631, 0.348], [0.684, 0.369, 0.652], [0.500, 0.000, 0.000], [0.808, 0.616, 0.046], [0.192, 0.384, 0.954], [0.969, 0.937, 0.670], [0.031, 0.063, 0.330]]
}

---

{
  "formula": "Sr3GaPb",
  "functional": "GGA-PBE",
  "state": "relaxed",
  "relative_energy_mev_per_atom": 0.0,
  "formation_enthalpy_0k_ev_per_atom": -0.344,
  "cell": [[6.405, -0.728, -0.624], [-0.924, 6.553, -0.261], [-0.746, 0.257, 9.541]],
  "species": ["Sr", "Sr", "Sr", "Sr", "Sr", "Sr", "Ga", "Ga", "Pb", "Pb"],
  "fractional_positions": [[0.477, 0.985, 0.761], [0.864, 0.423, 0.128], [0.968, 0.168, 0.512], [0.933, 0.617, 0.775], [0.510, 0.546, 0.411], [0.302, 0.979, 0.174], [0.402, 0.459, 0.765], [0.367, 0.517, 0.032], [0.068, 0.707, 0.446], [0.041, 0.143, 0.873]]
}

---

{
  "formula": "SrGaPb",
  "functional": "GGA-PBE",
  "state": "relaxed",
  "formation_enthalpy_0k_ev_per_atom": -0.305,
  "cell": [[5.150, 0.000, 0.000], [2.575, 4.460, 0.000], [2.575, 1.487, 4.205]],
  "species": ["Pb", "Sr", "Ga"],
  "fractional_positions": [[0.500, 0.500, 0.500], [0.000, 0.000, 0.000], [0.250, 0.250, 0.250]]
}

---

{
  "formula": "Sr2GaPb",
  "functional": "GGA-PBE",
  "state": "relaxed",
  "relative_energy_mev_per_atom": 68.3,
  "formation_enthalpy_0k_ev_per_atom": -0.427,
  "cell": [[-2.428, -1.873, -4.740], [1.403, -3.640, 4.082], [-8.918, 1.167, 4.107]],
  "species": ["Sr", "Sr", "Sr", "Sr", "Ga", "Ga", "Pb", "Pb"],
  "fractional_positions": [[0.000, 0.000, 0.000], [0.333, 0.667, 0.249], [0.667, 0.333, 0.751], [0.000, 0.000, 0.500], [0.333, 0.667, 0.573], [0.667, 0.333, 0.427], [0.333, 0.667, 0.857], [0.667, 0.333, 0.143]]
}

---

{
  "formula": "Sr3GaPb3",
  "functional": "GGA-PBE",
  "state": "relaxed",
  "formation_enthalpy_0k_ev_per_atom": -0.479,
  "cell": [[4.977, 0.000, 0.750], [2.444, 6.166, 0.674], [0.210, 0.260, 15.499]],
  "species": ["Sr", "Sr", "Sr", "Sr", "Sr", "Sr", "Ga", "Ga", "Pb", "Pb", "Pb", "Pb", "Pb", "Pb"],
  "fractional_positions": [[0.522, 0.339, 0.617], [0.478, 0.661, 0.383], [0.272, 0.224, 0.232], [0.728, 0.776, 0.768], [0.398, 0.282, 0.922], [0.602, 0.718, 0.078], [0.781, 0.052, 0.386], [0.219, 0.948, 0.614], [0.849, 0.754, 0.547], [0.151, 0.246, 0.453], [0.117, 0.843, 0.923], [0.883, 0.157, 0.077], [0.989, 0.790, 0.232], [0.011, 0.210, 0.768]]
}

---

{
  "formula": "Sr2GaPb",
  "functional": "GGA-PBE",
  "state": "relaxed",
  "relative_energy_mev_per_atom": 64.8,
  "formation_enthalpy_0k_ev_per_atom": -0.430,
  "cell": [[-0.202, 6.470, -5.666], [-4.533, 2.381, 2.880], [6.874, 3.481, 7.942]],
  "species": ["Pb", "Pb", "Pb", "Pb", "Sr", "Sr", "Sr", "Sr", "Sr", "Sr", "Sr", "Sr", "Ga", "Ga", "Ga", "Ga"],
  "fractional_positions": [[0.030, 0.000, 0.485], [0.030, 0.500, 0.985], [0.598, 0.000, 0.087], [0.598, 0.500, 0.587], [0.632, 0.000, 0.416], [0.632, 0.500, 0.916], [0.920, 0.000, 0.791], [0.920, 0.500, 0.291], [0.418, 0.000, 0.695], [0.418, 0.500, 0.195], [0.117, 0.000, 0.152], [0.117, 0.500, 0.652], [0.288, 0.734, 0.415], [0.288, 0.266, 0.415], [0.288, 0.234, 0.915], [0.288, 0.766, 0.915]]
}

---

{
  "formula": "Sr2GaPb",
  "functional": "GGA-PBE",
  "state": "relaxed",
  "relative_energy_mev_per_atom": 45.4,
  "formation_enthalpy_0k_ev_per_atom": -0.449,
  "cell": [[10.599, 0.000, -0.003], [0.000, 4.773, 0.000], [-4.148, 0.000, 11.047]],
  "species": ["Pb", "Pb", "Pb", "Pb", "Sr", "Sr", "Sr", "Sr", "Sr", "Sr", "Sr", "Sr", "Ga", "Ga", "Ga", "Ga"],
  "fractional_positions": [[0.150, 0.000, 0.293], [0.150, 0.500, 0.793], [0.762, 0.000, 0.911], [0.762, 0.500, 0.411], [0.754, 0.000, 0.201], [0.754, 0.500, 0.701], [0.522, 0.000, 0.407], [0.522, 0.500, 0.907], [0.294, 0.000, 0.044], [0.294, 0.500, 0.544], [0.987, 0.000, 0.557], [0.987, 0.500, 0.057], [0.519, 0.000, 0.693], [0.519, 0.500, 0.193], [0.304, 0.000, 0.758], [0.304, 0.500, 0.258]]
}

---

{
  "formula": "Sr2GaPb",
  "functional": "GGA-PBE",
  "state": "relaxed",
  "relative_energy_mev_per_atom": 56.7,
  "formation_enthalpy_0k_ev_per_atom": -0.438,
  "cell": [[-1.619, 2.102, -2.682], [-7.617, 0.303, 4.834], [2.430, 6.259, 3.438]],
  "species": ["Sr", "Sr", "Sr", "Sr", "Ga", "Ga", "Pb", "Pb"],
  "fractional_positions": [[0.500, 0.785, 0.806], [0.500, 0.215, 0.806], [0.500, 0.285, 0.306], [0.500, 0.715, 0.306], [0.000, 0.000, 0.508], [0.000, 0.500, 0.008], [0.000, 0.000, 0.117], [0.000, 0.500, 0.617]]
}

---

{
  "formula": "Sr4Ga2Pb5",
  "functional": "GGA-PBE",
  "state": "relaxed",
  "formation_enthalpy_0k_ev_per_atom": -0.432,
  "cell": [[4.920, 0.000, 0.000], [0.000, 7.960, -0.119], [0.000, 0.115, 9.358]],
  "species": ["Sr", "Sr", "Sr", "Sr", "Ga", "Ga", "Pb", "Pb", "Pb", "Pb", "Pb"],
  "fractional_positions": [[0.500, 0.255, 0.614], [0.500, 0.785, 0.862], [0.500, 0.745, 0.386], [0.500, 0.215, 0.138], [0.000, 0.926, 0.616], [0.000, 0.074, 0.384], [0.000, 0.425, 0.343], [0.000, 0.879, 0.130], [0.000, 0.500, 0.000], [0.000, 0.121, 0.870], [0.000, 0.575, 0.657]]
}

---

{
  "formula": "Sr4GaPb3",
  "functional": "GGA-PBE",
  "state": "relaxed",
  "formation_enthalpy_0k_ev_per_atom": -0.521,
  "cell": [[-0.635, 1.263, 4.807], [-4.156, -2.164, 0.019], [5.437, -10.410, 3.454]],
  "species": ["Pb", "Pb", "Pb", "Sr", "Sr", "Sr", "Sr", "Ga"],
  "fractional_positions": [[0.000, 0.500, 0.583], [0.000, 0.000, 0.416], [0.500, 0.000, 0.926], [0.500, 0.500, 0.356], [0.000, 0.500, 0.870], [0.000, 0.000, 0.132], [0.500, 0.000, 0.638], [0.500, 0.500, 0.078]]
}

---

Q: Which formula does entry 6 have?
A: Sr2GaPb